VASP calculation (GGA-PBE) on a relaxed structure of ZrCd2Ir.

a = 4.761 Å, b = 4.761 Å, c = 4.761 Å
α = 120.15°, β = 120.15°, γ = 89.74°
Atoms (fractional coordinates):
Zr: 0.750 0.250 0.500
Cd: 0.000 0.000 0.000
Ir: 0.500 0.500 0.000
Cd: 0.250 0.750 0.500

Calculated values
For the magnetic moment, the calculation gives 0.00 μB/cell. As for the formation energy: -201 meV per atom. The volume is 19.0 Å³/atom.